DFT (GGA-PBE) results for LiGe2Rh after structural relaxation.

```
LiGe2Rh
1.0
4.092 0.000 0.000
2.046 3.544 0.000
2.046 1.181 4.551
Li Ge Rh
1 2 1
direct
0.485 0.485 0.545
0.069 0.069 0.794
0.268 0.268 0.197
0.678 0.678 0.965
```

Energy above the most stable polymorph in this dataset (meV/atom): 1
Density (Mg/m³): 6.418
ΔE_f (meV/atom): -387
Energy (eV per atom): -5.01

=====

DFT (GGA-PBE) results for LiGeRh2 after structural relaxation.

```
LiGeRh2
1.0
-0.313 3.648 5.671
-6.686 -0.901 0.210
-3.147 -0.900 4.422
Ge Rh Li
2 4 2
direct
0.000 0.000 0.000
0.750 0.250 0.500
0.656 0.125 0.250
0.094 0.625 0.250
0.375 0.344 0.750
0.875 0.906 0.750
0.500 0.500 0.000
0.250 0.750 0.500
```

Density (Mg/m³): 7.601
ΔE_f (meV/atom): -108
Energy (eV per atom): -5.42

=====

DFT (GGA-PBE) results for Li6GeRh2 after structural relaxation.

```
Li6GeRh2
1.0
4.448 0.000 0.000
2.224 3.852 0.000
2.224 1.284 8.386
Li Ge Rh
6 1 2
direct
0.572 0.572 0.284
0.804 0.804 0.587
0.704 0.704 0.889
0.196 0.196 0.413
0.428 0.428 0.716
0.296 0.296 0.111
0.000 0.000 0.000
0.908 0.908 0.275
0.092 0.092 0.725
```

Energy above the most stable polymorph in this dataset (meV/atom): 86
Density (Mg/m³): 3.699
ΔE_f (meV/atom): -161
Energy (eV per atom): -3.58

=====

What is the formula in the third record? Li6GeRh2

=====

ΔE_f of number 1 (LiGe2Rh)? -387 meV/atom

=====

Repeat the third record exactly.
DFT (GGA-PBE) results for Li6GeRh2 after structural relaxation.

```
Li6GeRh2
1.0
4.448 0.000 0.000
2.224 3.852 0.000
2.224 1.284 8.386
Li Ge Rh
6 1 2
direct
0.572 0.572 0.284
0.804 0.804 0.587
0.704 0.704 0.889
0.196 0.196 0.413
0.428 0.428 0.716
0.296 0.296 0.111
0.000 0.000 0.000
0.908 0.908 0.275
0.092 0.092 0.725
```

Energy above the most stable polymorph in this dataset (meV/atom): 86
Density (Mg/m³): 3.699
ΔE_f (meV/atom): -161
Energy (eV per atom): -3.58